No. 1
LuScGe4 | PBE | optimized geometry

Cell lengths 3.8599, 3.9478, 15.3104 Å; angles 90.00, 90.00, 90.00 degrees
Closest atoms and distances in Å follow each position.
Space group Amm2 (No. 38)
One atom of each set of equivalent atoms:
1 Lu 0.0000 0.0000 0.0000  10 Ge 2.87-3.19
2 Sc 0.5000 0.0000 0.7956  10 Ge 2.83-3.07
3 Ge 0.0000 0.0000 0.3359  2 Ge 2.59, 4 Sc 2.83
4 Ge 0.0000 0.0000 0.6488  4 Ge 2.76, 2 Sc 2.96, 2 Lu 3.01
5 Ge 0.5000 0.0000 0.1528  4 Ge 2.76, 2 Sc 2.95, 2 Lu 3.03
6 Ge 0.5000 0.0000 0.4490  2 Ge 2.59, 4 Lu 2.87

## Properties
**Calculated density**: 7.267 g/cm³
**E**: -5.46 eV/atom



No. 2
LuSc2Ge | PBE | optimized geometry

Cell lengths 7.0283, 7.0283, 7.0283 Å; angles 90.00, 90.00, 90.00 degrees
Closest atoms and distances in Å follow each position.
Space group F-43m (No. 216)
One atom of each set of equivalent atoms:
1 Lu 0.0000 0.0000 0.0000  4 Ge 3.04, 4 Sc 3.04
2 Sc 0.0000 0.0000 0.5000  4 Sc 3.04, 4 Ge 3.04
3 Sc 0.2500 0.2500 0.2500  4 Lu 3.04, 4 Sc 3.04
4 Ge 0.2500 0.2500 0.7500  4 Sc 3.04, 4 Lu 3.04

## Properties
**Calculated density**: 6.457 g/cm³
**E**: -5.61 eV/atom



No. 3
Lu3Si4Ge4 | PBE | optimized geometry

Cell lengths 4.2013, 6.6774, 15.2259 Å; angles 90.00, 90.00, 90.00 degrees
Closest atoms and distances in Å follow each position.
Space group Immm (No. 71)
One atom of each set of equivalent atoms:
1 Lu 0.0000 0.0000 0.0000  6 Ge 2.96-3.31
2 Lu 0.0000 0.5000 0.1297  4 Si 3.01, 6 Ge 3.14
3 Si 0.0000 0.3184 0.3471  1 Si 2.43, 3 Ge 2.49-2.62
4 Ge 0.0000 0.0000 0.2172  6 Si 2.62-2.90
5 Ge 0.0000 0.1877 0.5000  2 Si 2.49, 1 Ge 2.51

## Properties
**Calculated density**: 7.214 g/cm³
**E**: -5.08 eV/atom



No. 4
SmLu2Ge7 | PBE | optimized geometry

Cell lengths 4.1438, 23.3168, 4.1866 Å; angles 90.00, 90.00, 90.00 degrees
Closest atoms and distances in Å follow each position.
Space group Cmmm (No. 65)
One atom of each set of equivalent atoms:
1 Sm 0.0000 0.0000 0.0000  12 Ge 2.95-3.12
2 Lu 0.0000 0.1876 0.0000  10 Ge 2.94-3.18
3 Ge 0.0000 0.0994 0.5000  2 Lu 2.94, 6 Ge 2.95-3.11, 2 Sm 3.12
4 Ge 0.0000 0.2902 0.5000  2 Ge 2.79, 4 Lu 2.99
5 Ge 0.0000 0.4016 0.0000  2 Lu 2.94, 6 Ge 2.95-3.11, 2 Sm 3.09
6 Ge 0.0000 0.5000 0.5000  4 Sm 2.95, 8 Ge 3.11

## Properties
**Calculated density**: 8.282 g/cm³
**E**: -5.09 eV/atom



No. 5
SmLuGe | PBE | optimized geometry

Cell lengths 6.9065, 6.9065, 6.9065 Å; angles 90.00, 90.00, 90.00 degrees
Closest atoms and distances in Å follow each position.
Space group F-43m (No. 216)
One atom of each set of equivalent atoms:
1 Sm 0.0000 0.0000 0.0000  4 Ge 2.99
2 Lu 0.0000 0.0000 0.5000  4 Ge 2.99
3 Ge 0.2500 0.2500 0.7500  4 Sm 2.99, 4 Lu 2.99

## Properties
**Calculated density**: 8.024 g/cm³
**Relative energy among the computed polymorphs**: 0.000 eV per atom
**E**: -5.12 eV/atom



No. 6
LuSn2Ge | PBE | optimized geometry

Cell lengths 7.3780, 7.3780, 7.3780 Å; angles 90.00, 90.00, 90.00 degrees
Closest atoms and distances in Å follow each position.
Space group F-43m (No. 216)
One atom of each set of equivalent atoms:
1 Lu 0.0000 0.0000 0.0000  4 Sn 3.19, 4 Ge 3.19
2 Sn 0.0000 0.0000 0.5000  4 Ge 3.19, 4 Sn 3.19
3 Sn 0.2500 0.2500 0.2500  4 Sn 3.19, 4 Lu 3.19
4 Ge 0.2500 0.2500 0.7500  4 Sn 3.19, 4 Lu 3.19

## Properties
**Calculated density**: 8.021 g/cm³
**E**: -4.37 eV/atom



No. 7
LuSnGeTe3 | PBE | optimized geometry

Cell lengths 4.3343, 14.7204, 11.1177 Å; angles 90.00, 90.00, 90.00 degrees
Closest atoms and distances in Å follow each position.
Space group Cmcm (No. 63)
One atom of each set of equivalent atoms:
1 Lu 0.0000 0.0000 0.0000  6 Te 3.08-3.14
2 Sn 0.0000 0.2348 0.2500  8 Te 3.26-3.62, 2 Ge 3.62
3 Ge 0.0000 0.4624 0.7500  4 Te 2.87-2.97
4 Te 0.0000 0.1000 0.7500  2 Ge 2.97, 2 Lu 3.14, 2 Sn 3.26
5 Te 0.0000 0.3541 0.5352  1 Ge 2.87, 2 Lu 3.08

## Properties
**Calculated density**: 7.015 g/cm³
**E**: -4.19 eV/atom



No. 8
SrLuGe2 | PBE | optimized geometry

Cell lengths 7.3710, 7.3710, 7.3710 Å; angles 90.00, 90.00, 90.00 degrees
Closest atoms and distances in Å follow each position.
Space group F-43m (No. 216)
One atom of each set of equivalent atoms:
1 Sr 0.0000 0.0000 0.0000  4 Ge 3.19, 4 Lu 3.19
2 Lu 0.2500 0.2500 0.2500  4 Ge 3.19, 4 Sr 3.19
3 Ge 0.0000 0.0000 0.5000  4 Ge 3.19, 4 Lu 3.19
4 Ge 0.2500 0.2500 0.7500  4 Sr 3.19, 4 Ge 3.19

## Properties
**Calculated density**: 6.765 g/cm³
**E**: -3.73 eV/atom



No. 9
SrLuGe | PBE | optimized geometry

Cell lengths 7.1395, 7.1395, 7.1395 Å; angles 90.00, 90.00, 90.00 degrees
Closest atoms and distances in Å follow each position.
Space group F-43m (No. 216)
One atom of each set of equivalent atoms:
1 Sr 0.0000 0.0000 0.0000  4 Ge 3.09
2 Lu 0.0000 0.0000 0.5000  4 Ge 3.09
3 Ge 0.2500 0.2500 0.7500  4 Sr 3.09, 4 Lu 3.09

## Properties
**Calculated density**: 6.118 g/cm³
**E**: -3.96 eV/atom



No. 10
Lu2TaGe | PBE | optimized geometry

Cell lengths 6.9157, 6.9157, 6.9157 Å; angles 90.00, 90.00, 90.00 degrees
Closest atoms and distances in Å follow each position.
Space group F-43m (No. 216)
One atom of each set of equivalent atoms:
1 Lu 0.0000 0.0000 0.0000  4 Ta 2.99, 4 Lu 2.99
2 Lu 0.2500 0.2500 0.2500  4 Ge 2.99, 4 Lu 2.99
3 Ta 0.2500 0.2500 0.7500  4 Ge 2.99, 4 Lu 2.99
4 Ge 0.0000 0.0000 0.5000  4 Lu 2.99, 4 Ta 2.99

## Properties
**Calculated density**: 12.120 g/cm³
**E**: -6.20 eV/atom



No. 11
LuTaGe | PBE | optimized geometry

Cell lengths 6.3776, 6.3776, 6.3776 Å; angles 90.00, 90.00, 90.00 degrees
Closest atoms and distances in Å follow each position.
Space group F-43m (No. 216)
One atom of each set of equivalent atoms:
1 Lu 0.0000 0.0000 0.0000  4 Ge 2.76
2 Ta 0.0000 0.0000 0.5000  4 Ge 2.76
3 Ge 0.2500 0.2500 0.2500  4 Ta 2.76, 4 Lu 2.76

## Properties
**Calculated density**: 10.973 g/cm³
**E**: -6.94 eV/atom



No. 12
YLuTa2Ge2 | PBE | optimized geometry

Cell lengths 4.0162, 4.0162, 7.7488 Å; angles 90.00, 90.00, 90.00 degrees
Closest atoms and distances in Å follow each position.
Space group P4mm (No. 99)
One atom of each set of equivalent atoms:
1 Y 0.0000 0.0000 0.0000  5 Ge 2.96-3.06
2 Lu 0.5000 0.5000 0.7031  5 Ge 2.94-3.13
3 Ta 0.0000 0.5000 0.3560  4 Ge 2.79, 4 Ta 2.84
4 Ge 0.0000 0.0000 0.6051  4 Ta 2.79, 4 Lu 2.94, 1 Y 3.06
5 Ge 0.5000 0.5000 0.1068  4 Ta 2.79, 4 Y 2.96

## Properties
**Calculated density**: 10.244 g/cm³
**E**: -7.92 eV/atom